(1)
Ti3BiOs: optimized geometry, GGA-PBE.

abc: 4.7896 4.7896 4.7896
angles: 90.00 90.00 90.00
With the nearest neighbours (Å) after each atom.
Sites, in units of the cell vectors:
1 Os 0.0000 0.0000 0.0000  6 Ti 2.39
2 Bi 0.5000 0.5000 0.5000  12 Ti 3.39
3 Ti 0.0000 0.5000 0.0000  2 Os 2.39
4 Ti 0.0000 0.0000 0.5000  2 Os 2.39
5 Ti 0.5000 0.0000 0.0000  2 Os 2.39

Summary:
The calculated formation energy is 225 meV/atom.

---

(2)
Ti2BiOs4: optimized geometry, GGA-PBE.

abc: 4.8644 4.8644 7.3990
angles: 70.81 70.81 90.00
With the nearest neighbours (Å) after each atom.
Sites, in units of the cell vectors:
1 Os 0.7811 0.7811 0.4378  1 Ti 2.20
2 Os 0.2189 0.2189 0.5622  1 Ti 2.20
3 Os 0.0000 0.5000 0.0000  2 Bi 2.43
4 Os 0.5000 0.0000 0.0000  2 Bi 2.43
5 Bi 0.0000 0.0000 0.0000  4 Os 2.43
6 Ti 0.6131 0.6131 0.7738  1 Os 2.20
7 Ti 0.3869 0.3869 0.2262  1 Os 2.20

Summary:
The calculated formation energy is 1917 meV/atom.

---

(3)
TiBiOs: optimized geometry, GGA-PBE.

abc: 3.3399 3.3399 11.7905
angles: 98.14 98.14 90.00
With the nearest neighbours (Å) after each atom.
Sites, in units of the cell vectors:
1 Os 0.2870 0.2870 0.5740  5 Ti 2.60-2.79
2 Os 0.7130 0.7130 0.4260  5 Ti 2.60-2.79
3 Ti 0.1661 0.1661 0.3323  5 Os 2.60-2.79
4 Ti 0.8339 0.8339 0.6677  5 Os 2.60-2.79
5 Bi 0.5798 0.5798 0.1596  1 Os 3.08, 4 Ti 3.09, 4 Bi 3.34
6 Bi 0.4202 0.4202 0.8404  1 Os 3.08, 4 Ti 3.09, 4 Bi 3.34

Summary:
The calculated formation energy is -57 meV/atom.

---

(4)
TiBiOs3: optimized geometry, GGA-PBE.

abc: 4.6443 4.6443 4.6443
angles: 90.00 90.00 90.00
With the nearest neighbours (Å) after each atom.
Sites, in units of the cell vectors:
1 Os 0.0000 0.5000 0.0000  2 Ti 2.32
2 Os 0.0000 0.0000 0.5000  2 Ti 2.32
3 Os 0.5000 0.0000 0.0000  2 Ti 2.32
4 Bi 0.5000 0.5000 0.5000  12 Os 3.28
5 Ti 0.0000 0.0000 0.0000  6 Os 2.32

Summary:
The calculated formation energy is 1581 meV/atom.

---

(5)
TiBiOs2: optimized geometry, GGA-PBE.

abc: 4.2541 4.2541 9.3460
angles: 76.84 76.84 90.00
With the nearest neighbours (Å) after each atom.
Sites, in units of the cell vectors:
1 Os 0.5413 0.1250 0.2500  2 Ti 2.55, 2 Os 2.55, 2 Bi 2.84
2 Os 0.2087 0.6250 0.2500  2 Ti 2.55, 2 Os 2.55, 2 Bi 2.84
3 Os 0.3750 0.4587 0.7500  2 Ti 2.55, 2 Os 2.55, 2 Bi 2.84
4 Os 0.8750 0.7913 0.7500  2 Ti 2.55, 2 Os 2.55, 2 Bi 2.84
5 Bi 0.0000 0.0000 0.0000  4 Os 2.84, 4 Ti 3.01
6 Bi 0.7500 0.2500 0.5000  4 Os 2.84, 4 Ti 3.01
7 Ti 0.5000 0.5000 0.0000  4 Os 2.55
8 Ti 0.2500 0.7500 0.5000  4 Os 2.55

Summary:
The calculated formation energy is 712 meV/atom.

---

(6)
TiBiOs3: optimized geometry, GGA-PBE.

abc: 4.8771 4.8771 4.8771
angles: 90.00 90.00 90.00
With the nearest neighbours (Å) after each atom.
Sites, in units of the cell vectors:
1 Os 0.0000 0.5000 0.0000  2 Bi 2.44
2 Os 0.0000 0.0000 0.5000  2 Bi 2.44
3 Os 0.5000 0.0000 0.0000  2 Bi 2.44
4 Bi 0.0000 0.0000 0.0000  6 Os 2.44
5 Ti 0.5000 0.5000 0.5000  12 Os 3.45

Summary:
The calculated formation energy is 2728 meV/atom.

---

(7)
TiBi3Os: optimized geometry, GGA-PBE.

abc: 5.3223 5.3223 5.3223
angles: 90.00 90.00 90.00
With the nearest neighbours (Å) after each atom.
Sites, in units of the cell vectors:
1 Os 0.0000 0.0000 0.0000  6 Bi 2.66
2 Bi 0.0000 0.5000 0.0000  2 Os 2.66
3 Bi 0.0000 0.0000 0.5000  2 Os 2.66
4 Bi 0.5000 0.0000 0.0000  2 Os 2.66
5 Ti 0.5000 0.5000 0.5000  12 Bi 3.76

Summary:
The calculated formation energy is 1046 meV/atom.

---

(8)
TiV2BiOs: optimized geometry, GGA-PBE.

abc: 4.3317 5.0812 4.3317
angles: 90.00 90.00 90.00
With the nearest neighbours (Å) after each atom.
Sites, in units of the cell vectors:
1 Ti 0.0000 0.0000 0.0000  4 V 2.17
2 Os 0.5000 0.5000 0.5000  4 Bi 3.06, 8 V 3.34
3 Bi 0.0000 0.5000 0.0000  2 Ti 2.54
4 V 0.0000 0.0000 0.5000  2 Ti 2.17
5 V 0.5000 0.0000 0.0000  2 Ti 2.17

Summary:
The calculated formation energy is 1603 meV/atom.

---

(9)
Ti2BiOsW: optimized geometry, GGA-PBE.

abc: 4.7140 5.0863 4.7140
angles: 90.00 90.00 90.00
With the nearest neighbours (Å) after each atom.
Sites, in units of the cell vectors:
1 Os 0.0000 0.0000 0.0000  4 Ti 2.36, 2 Bi 2.54
2 Bi 0.0000 0.5000 0.0000  2 Os 2.54
3 W 0.5000 0.5000 0.5000  4 Bi 3.33, 8 Ti 3.47
4 Ti 0.0000 0.0000 0.5000  2 Os 2.36
5 Ti 0.5000 0.0000 0.0000  2 Os 2.36

Summary:
The calculated formation energy is 1361 meV/atom.

---

(10)
TlBiOs3: optimized geometry, GGA-PBE.

abc: 5.0792 5.0792 5.0792
angles: 90.00 90.00 90.00
With the nearest neighbours (Å) after each atom.
Sites, in units of the cell vectors:
1 Tl 0.5000 0.5000 0.5000  12 Os 3.59
2 Os 0.0000 0.5000 0.0000  2 Bi 2.54
3 Os 0.0000 0.0000 0.5000  2 Bi 2.54
4 Os 0.5000 0.0000 0.0000  2 Bi 2.54
5 Bi 0.0000 0.0000 0.0000  6 Os 2.54

Summary:
The calculated formation energy is 2780 meV/atom.

---

(11)
Tl3BiOs: optimized geometry, GGA-PBE.

abc: 5.3528 5.3528 5.3528
angles: 90.00 90.00 90.00
With the nearest neighbours (Å) after each atom.
Sites, in units of the cell vectors:
1 Tl 0.0000 0.5000 0.0000  2 Os 2.68
2 Tl 0.0000 0.0000 0.5000  2 Os 2.68
3 Tl 0.5000 0.0000 0.0000  2 Os 2.68
4 Os 0.0000 0.0000 0.0000  6 Tl 2.68
5 Bi 0.5000 0.5000 0.5000  12 Tl 3.79

Summary:
The calculated formation energy is 640 meV/atom.

---

(12)
TlBi2Os: optimized geometry, GGA-PBE.

abc: 5.1459 5.1459 5.1459
angles: 60.00 60.00 60.00
With the nearest neighbours (Å) after each atom.
Sites, in units of the cell vectors:
1 Tl 0.5000 0.5000 0.5000  8 Bi 3.15
2 Os 0.0000 0.0000 0.0000  8 Bi 3.15
3 Bi 0.2500 0.2500 0.2500  4 Tl 3.15, 4 Os 3.15
4 Bi 0.7500 0.7500 0.7500  4 Tl 3.15, 4 Os 3.15

Summary:
The calculated formation energy is 771 meV/atom.